Below is a relaxed TaAlMo2 crystal, with properties calculated at the PBE level.

The structure in POSCAR format:
```
TaAlMo2
1.0
-5.933 6.590 3.892
-7.460 5.966 1.592
-7.697 4.376 3.922
Mo Al Ta
2 1 1
Direct
0.496 0.496 0.496
0.004 0.004 0.004
0.750 0.750 0.750
0.250 0.250 0.250
```

Computed properties:
DOS(E_F)	2.50	states/eV/f.u.
calculated formation energy	16	kJ/mol of atoms